(1)
Sm4Tl2Ru, optimized geometry, DFT PBE; space-group type = C2/m, No. 12; offset from the most stable computed form = 0 meV/atom
1.0
-3.807 2.657 -1.146
-4.939 -1.222 3.599
-0.123 6.152 4.696
Sm Tl Ru
4 2 1
direct
0.070 0.213 0.647 Sm
0.930 0.787 0.353 Sm
0.334 0.279 0.053 Sm
0.666 0.721 0.947 Sm
0.341 0.646 0.672 Tl
0.659 0.354 0.328 Tl
0.000 0.000 0.000 Ru

(2)
Sm4TlRu, optimized geometry, DFT PBE; space-group type = F-43m, No. 216; offset from the most stable computed form = 0 meV/atom
1.0
-9.155 -0.105 3.616
-5.199 -8.359 -0.007
-1.890 -4.628 8.480
Sm Tl Ru
16 4 4
direct
0.403 0.403 0.403 Sm
0.791 0.403 0.403 Sm
0.403 0.791 0.403 Sm
0.403 0.403 0.791 Sm
0.558 0.558 0.942 Sm
0.942 0.942 0.558 Sm
0.558 0.942 0.558 Sm
0.942 0.558 0.942 Sm
0.942 0.558 0.558 Sm
0.558 0.942 0.942 Sm
0.191 0.191 0.809 Sm
0.809 0.809 0.191 Sm
0.191 0.809 0.191 Sm
0.809 0.191 0.809 Sm
0.809 0.191 0.191 Sm
0.191 0.809 0.809 Sm
0.166 0.166 0.166 Tl
0.503 0.166 0.166 Tl
0.166 0.503 0.166 Tl
0.166 0.166 0.503 Tl
0.612 0.612 0.612 Ru
0.164 0.612 0.612 Ru
0.612 0.164 0.612 Ru
0.612 0.612 0.164 Ru

(3)
Sm6Tl5Ru, optimized geometry, DFT PBE; space-group type = C2/m, No. 12
1.0
-5.250 -0.801 0.851
-1.491 1.965 -7.344
4.165 -8.169 1.055
Ru Tl Sm
1 5 6
direct
0.000 0.000 0.000 Ru
0.317 0.817 0.634 Tl
0.663 0.663 0.327 Tl
0.000 0.500 0.000 Tl
0.337 0.337 0.673 Tl
0.683 0.183 0.366 Tl
0.153 0.383 0.306 Sm
0.153 0.924 0.306 Sm
0.500 0.223 0.000 Sm
0.500 0.777 0.000 Sm
0.847 0.076 0.694 Sm
0.847 0.617 0.694 Sm

(4)
Sm12TlRu6, optimized geometry, DFT PBE; space-group type = Im-3, No. 204
1.0
8.207 0.000 -2.902
-4.103 7.107 -2.902
0.000 0.000 8.705
Sm Tl Ru
12 1 6
direct
0.298 0.102 0.804 Sm
0.298 0.494 0.196 Sm
0.702 0.506 0.804 Sm
0.702 0.898 0.196 Sm
0.102 0.804 0.298 Sm
0.494 0.196 0.298 Sm
0.506 0.804 0.702 Sm
0.898 0.196 0.702 Sm
0.804 0.298 0.102 Sm
0.196 0.298 0.494 Sm
0.804 0.702 0.506 Sm
0.196 0.702 0.898 Sm
0.000 0.000 0.000 Tl
0.378 0.500 0.878 Ru
0.622 0.500 0.122 Ru
0.500 0.878 0.378 Ru
0.500 0.122 0.622 Ru
0.878 0.378 0.500 Ru
0.122 0.622 0.500 Ru

(5)
Sm6Tl2Ru, optimized geometry, DFT PBE; space-group type = Amm2, No. 38; offset from the most stable computed form = 0 meV/atom
1.0
-3.702 -0.857 0.881
2.771 -5.060 6.719
-1.672 8.548 1.291
Sm Tl Ru
6 2 1
direct
0.500 0.602 0.000 Sm
0.500 0.391 0.393 Sm
0.500 0.998 0.607 Sm
0.000 0.244 0.000 Sm
0.000 0.761 0.765 Sm
0.000 0.996 0.235 Sm
0.000 0.330 0.663 Tl
0.000 0.667 0.337 Tl
0.500 0.011 0.000 Ru

(6)
Sm11Tl9Ru4, optimized geometry, DFT PBE; space-group type = Cmmm, No. 65
1.0
3.841 0.000 0.000
0.000 12.261 -5.151
0.000 0.082 13.299
Sm Tl Ru
11 9 4
direct
0.000 0.582 0.913 Sm
0.000 0.418 0.087 Sm
0.000 0.913 0.582 Sm
0.000 0.087 0.418 Sm
0.000 0.626 0.374 Sm
0.000 0.374 0.626 Sm
0.000 0.837 0.163 Sm
0.000 0.163 0.837 Sm
0.000 0.000 0.000 Sm
0.000 0.688 0.688 Sm
0.000 0.312 0.312 Sm
0.500 0.631 0.153 Tl
0.500 0.369 0.847 Tl
0.500 0.153 0.631 Tl
0.500 0.847 0.369 Tl
0.500 0.782 0.927 Tl
0.500 0.218 0.073 Tl
0.500 0.927 0.782 Tl
0.500 0.073 0.218 Tl
0.500 0.500 0.500 Tl
0.500 0.549 0.748 Ru
0.500 0.451 0.252 Ru
0.500 0.748 0.549 Ru
0.500 0.252 0.451 Ru

(7)
Sm3Tl2Ru, optimized geometry, DFT PBE; space-group type = P2_1/m, No. 11; offset from the most stable computed form = 0 meV/atom
1.0
-0.238 -5.026 -1.990
6.666 0.742 -2.672
3.142 -5.569 6.293
Sm Tl Ru
6 4 2
direct
0.502 0.250 0.000 Sm
0.498 0.750 0.000 Sm
0.132 0.000 0.738 Sm
0.868 0.500 0.262 Sm
0.132 0.500 0.738 Sm
0.868 0.000 0.262 Sm
0.693 0.750 0.614 Tl
0.693 0.250 0.614 Tl
0.307 0.750 0.386 Tl
0.307 0.250 0.386 Tl
0.998 0.750 0.000 Ru
0.002 0.250 0.000 Ru

(8)
Sm6TlRu, optimized geometry, DFT PBE; space-group type = C2/m, No. 12
1.0
6.520 0.270 0.000
1.760 7.852 0.000
0.880 3.926 5.175
Sm Tl Ru
6 1 1
direct
0.788 0.563 0.629 Sm
0.788 0.192 0.371 Sm
0.212 0.808 0.629 Sm
0.212 0.437 0.371 Sm
0.646 0.783 0.000 Sm
0.354 0.217 0.000 Sm
0.000 0.000 0.000 Tl
0.500 0.500 0.000 Ru

(9)
Sm6Tl2Ru, optimized geometry, DFT PBE; space-group type = Immm, No. 71; offset from the most stable computed form = 176 meV/atom
1.0
5.347 0.000 -0.206
0.000 7.334 0.000
-2.387 -3.667 7.529
Sm Tl Ru
6 2 1
direct
0.151 0.395 0.302 Sm
0.849 0.092 0.698 Sm
0.849 0.605 0.698 Sm
0.500 0.224 0.000 Sm
0.151 0.908 0.302 Sm
0.500 0.776 0.000 Sm
0.668 0.668 0.336 Tl
0.332 0.332 0.664 Tl
0.000 0.000 0.000 Ru

(10)
Sm4Tl2Ru, optimized geometry, DFT PBE; space-group type = P2/m, No. 10; offset from the most stable computed form = 115 meV/atom
1.0
3.703 0.000 0.000
0.000 6.674 -0.022
0.000 -3.378 8.700
Sm Tl Ru
4 2 1
direct
0.500 0.241 0.919 Sm
0.000 0.442 0.316 Sm
0.500 0.902 0.223 Sm
0.000 0.700 0.827 Sm
0.500 0.307 0.571 Tl
0.500 0.836 0.572 Tl
0.000 0.071 0.071 Ru

(11)
Sm5Tl4Ru, optimized geometry, DFT PBE; space-group type = P4/mmm, No. 123
1.0
3.542 0.000 0.000
0.000 3.542 0.000
0.000 0.000 21.684
Sm Tl Ru
5 4 1
direct
0.500 0.500 0.078 Sm
0.500 0.500 0.294 Sm
0.500 0.500 0.500 Sm
0.500 0.500 0.706 Sm
0.500 0.500 0.922 Sm
0.000 0.000 0.190 Tl
0.000 0.000 0.396 Tl
0.000 0.000 0.604 Tl
0.000 0.000 0.810 Tl
0.000 0.000 0.000 Ru

(12)
Sm6Tl3Ru, optimized geometry, DFT PBE; space-group type = P2_1/m, No. 11; offset from the most stable computed form = 0 meV/atom
1.0
-3.209 1.902 -3.915
-5.339 -7.809 0.583
-4.503 7.594 7.380
Sm Tl Ru
12 6 2
direct
0.250 0.458 0.088 Sm
0.750 0.542 0.912 Sm
0.250 0.121 0.153 Sm
0.750 0.879 0.847 Sm
0.250 0.692 0.667 Sm
0.750 0.308 0.333 Sm
0.250 0.212 0.499 Sm
0.750 0.788 0.501 Sm
0.250 0.852 0.332 Sm
0.750 0.148 0.668 Sm
0.250 0.101 0.854 Sm
0.750 0.899 0.146 Sm
0.250 0.509 0.381 Tl
0.750 0.491 0.619 Tl
0.250 0.403 0.782 Tl
0.750 0.597 0.218 Tl
0.250 0.774 0.977 Tl
0.750 0.226 0.023 Tl
0.250 0.962 0.596 Ru
0.750 0.038 0.404 Ru

| no. | final energy (eV/atom) | ΔE_f (eV/atom) |
| --- | --- | --- |
| 1 | -5.00 | -0.30 |
| 2 | -5.40 | -0.31 |
| 3 | -4.46 | -0.34 |
| 4 | -6.25 | -0.22 |
| 5 | -4.98 | -0.28 |
| 6 | -4.94 | -0.35 |
| 7 | -4.97 | -0.27 |
| 8 | -5.03 | -0.03 |
| 9 | -4.81 | -0.11 |
| 10 | -4.89 | -0.19 |
| 11 | -4.58 | -0.35 |
| 12 | -4.74 | -0.27 |